DFT (PBE+U) results for crystalline Mg2NpNiO6 at its relaxed geometry.

The structure belongs to space group R3 (No. 146, hexagonal axes); the cell edges are 5.3044, 5.3044 and 14.2987 Å and the angles 90.00°, 90.00° and 120.00°. The inequivalent atoms are Mg at (0.0000, 0.0000, 0.0000), Mg at (0.0000, 0.0000, 0.4943), Np at (0.0000, 0.0000, 0.7004), Ni at (0.0000, 0.0000, 0.2027), O at (0.0334, 0.3575, 0.7718) and O at (0.0357, 0.6739, 0.2738).

The value obtained for the final energy is -217.066 eV/cell. The value obtained for the total magnetization is 3.00 μB/f.u.